No. 1
{
  "formula": "NiBN2",
  "functional": "GGA-PBEsol",
  "state": "optimized geometry",
  "crystal_system": "tetragonal",
  "formation_energy_uncorrected_mev_per_atom": -327,
  "mass_density_g_cm3": 5.362,
  "lattice": [[-1.225, -0.361, 3.895], [3.455, -2.763, -1.327], [0.966, 3.927, 0.668]],
  "species": ["B", "B", "N", "N", "N", "N", "Ni", "Ni"],
  "fractional_positions": [[0.750, 0.500, 0.250], [0.500, 0.000, 0.500], [0.808, 0.250, 0.875], [0.125, 0.750, 0.558], [0.442, 0.250, 0.375], [0.625, 0.750, 0.192], [0.250, 0.500, 0.750], [0.000, 0.000, 0.000]]
}

No. 2
{
  "formula": "NiBSN2",
  "functional": "GGA-PBEsol",
  "state": "optimized geometry",
  "crystal_system": "tetragonal",
  "polymorph_energy_mev_per_atom": 0,
  "formation_energy_uncorrected_mev_per_atom": 798,
  "mass_density_g_cm3": 3.446,
  "lattice": [[3.047, 0.000, 0.000], [0.000, 3.047, 0.000], [0.000, 0.000, 6.725]],
  "species": ["Ni", "N", "N", "B", "S"],
  "fractional_positions": [[0.500, 0.500, 0.500], [0.000, 0.500, 0.000], [0.500, 0.000, 0.000], [0.000, 0.000, 0.000], [0.000, 0.000, 0.500]]
}

No. 3
{
  "formula": "NiBSN2",
  "functional": "GGA-PBEsol",
  "state": "optimized geometry",
  "crystal_system": "tetragonal",
  "polymorph_energy_mev_per_atom": 870,
  "formation_energy_uncorrected_mev_per_atom": 1668,
  "mass_density_g_cm3": 2.690,
  "lattice": [[-0.341, 2.965, -1.500], [-3.233, 0.054, 0.840], [1.652, 3.300, 6.146]],
  "species": ["S", "N", "N", "B", "Ni"],
  "fractional_positions": [[0.000, 0.000, 0.500], [0.000, 0.500, 0.000], [0.500, 0.000, 0.000], [0.500, 0.500, 0.500], [0.000, 0.000, 0.000]]
}

No. 4
{
  "formula": "NiBSe2N",
  "functional": "GGA-PBEsol",
  "state": "optimized geometry",
  "crystal_system": "tetragonal",
  "formation_energy_uncorrected_mev_per_atom": 1202,
  "mass_density_g_cm3": 5.219,
  "lattice": [[3.317, 0.000, 0.000], [0.000, 4.812, 0.000], [0.000, 0.000, 4.812]],
  "species": ["Se", "Se", "B", "Ni", "N"],
  "fractional_positions": [[0.000, 0.500, 0.000], [0.000, 0.000, 0.500], [0.500, 0.500, 0.500], [0.000, 0.000, 0.000], [0.500, 0.000, 0.000]]
}

No. 5
{
  "formula": "BOsN2O",
  "functional": "GGA-PBEsol",
  "state": "optimized geometry",
  "crystal_system": "tetragonal",
  "formation_energy_uncorrected_mev_per_atom": 1217,
  "mass_density_g_cm3": 7.333,
  "lattice": [[-3.347, 1.626, 0.793], [-1.236, -3.273, 1.494], [1.331, 1.065, 3.435]],
  "species": ["Os", "O", "N", "N", "B"],
  "fractional_positions": [[0.000, 0.000, 0.000], [0.000, 0.000, 0.500], [0.000, 0.500, 0.000], [0.500, 0.000, 0.000], [0.500, 0.500, 0.500]]
}

No. 6
{
  "formula": "BPbNO2",
  "functional": "GGA-PBEsol",
  "state": "optimized geometry",
  "crystal_system": "tetragonal",
  "formation_energy_uncorrected_mev_per_atom": -106,
  "mass_density_g_cm3": 9.387,
  "lattice": [[-1.629, 2.417, -1.392], [-2.325, -2.067, -0.870], [-2.136, 0.780, 3.855]],
  "species": ["O", "O", "B", "N", "Pb"],
  "fractional_positions": [[0.000, 0.500, 0.000], [0.500, 0.000, 0.000], [0.000, 0.000, 0.000], [0.000, 0.000, 0.500], [0.500, 0.500, 0.500]]
}

No. 7
{
  "formula": "BSbNO2",
  "functional": "GGA-PBEsol",
  "state": "optimized geometry",
  "crystal_system": "tetragonal",
  "formation_energy_uncorrected_mev_per_atom": -265,
  "mass_density_g_cm3": 7.082,
  "lattice": [[-2.334, 2.279, 0.486], [-2.330, -2.292, -0.440], [0.039, -0.764, 3.772]],
  "species": ["N", "Sb", "O", "O", "B"],
  "fractional_positions": [[0.000, 0.000, 0.500], [0.500, 0.500, 0.500], [0.000, 0.500, 0.000], [0.500, 0.000, 0.000], [0.000, 0.000, 0.000]]
}

No. 8
{
  "formula": "SiBNO2",
  "functional": "GGA-PBEsol",
  "state": "optimized geometry",
  "crystal_system": "tetragonal",
  "formation_energy_uncorrected_mev_per_atom": -299,
  "mass_density_g_cm3": 2.970,
  "lattice": [[2.911, 0.000, 0.000], [0.000, 2.911, 0.000], [0.000, 0.000, 5.602]],
  "species": ["O", "O", "B", "Si", "N"],
  "fractional_positions": [[0.000, 0.500, 0.000], [0.500, 0.000, 0.000], [0.000, 0.000, 0.000], [0.500, 0.500, 0.500], [0.000, 0.000, 0.500]]
}

No. 9
{
  "formula": "SrBNO",
  "functional": "GGA-PBEsol",
  "state": "optimized geometry",
  "crystal_system": "monoclinic",
  "formation_energy_uncorrected_mev_per_atom": -2059,
  "mass_density_g_cm3": 4.232,
  "lattice": [[-2.222, -4.211, -4.519], [7.284, -0.895, -2.748], [1.886, -8.602, 7.801]],
  "species": ["N", "N", "N", "N", "N", "N", "N", "N", "N", "N", "N", "N", "B", "B", "B", "B", "B", "B", "B", "B", "B", "B", "B", "B", "O", "O", "O", "O", "O", "O", "O", "O", "O", "O", "O", "O", "Sr", "Sr", "Sr", "Sr", "Sr", "Sr", "Sr", "Sr", "Sr", "Sr", "Sr", "Sr"],
  "fractional_positions": [[0.669, 0.624, 0.399], [0.468, 0.040, 0.818], [0.467, 0.708, 0.822], [0.169, 0.876, 0.899], [0.967, 0.792, 0.322], [0.831, 0.124, 0.101], [0.033, 0.208, 0.678], [0.533, 0.292, 0.178], [0.331, 0.376, 0.601], [0.968, 0.460, 0.318], [0.532, 0.960, 0.182], [0.032, 0.540, 0.682], [0.209, 0.531, 0.611], [0.292, 0.720, 0.894], [0.791, 0.469, 0.389], [0.052, 0.627, 0.292], [0.552, 0.873, 0.792], [0.708, 0.280, 0.106], [0.948, 0.373, 0.708], [0.208, 0.220, 0.606], [0.709, 0.969, 0.111], [0.448, 0.127, 0.208], [0.291, 0.031, 0.889], [0.792, 0.780, 0.394], [0.257, 0.129, 0.261], [0.743, 0.871, 0.739], [0.770, 0.418, 0.039], [0.730, 0.918, 0.461], [0.243, 0.629, 0.239], [0.757, 0.371, 0.761], [0.723, 0.326, 0.449], [0.230, 0.582, 0.961], [0.777, 0.826, 0.051], [0.270, 0.082, 0.539], [0.223, 0.174, 0.949], [0.277, 0.674, 0.551], [0.146, 0.365, 0.107], [0.388, 0.376, 0.824], [0.143, 0.890, 0.114], [0.857, 0.110, 0.886], [0.646, 0.135, 0.607], [0.854, 0.635, 0.893], [0.354, 0.865, 0.393], [0.112, 0.876, 0.676], [0.612, 0.624, 0.176], [0.357, 0.390, 0.386], [0.643, 0.610, 0.614], [0.888, 0.124, 0.324]]
}

No. 10
{
  "formula": "TaBN2O",
  "functional": "GGA-PBEsol",
  "state": "optimized geometry",
  "crystal_system": "tetragonal",
  "formation_energy_uncorrected_mev_per_atom": -326,
  "mass_density_g_cm3": 10.430,
  "lattice": [[-2.997, -0.090, 1.033], [-0.591, -2.769, -1.954], [0.957, -2.039, 2.600]],
  "species": ["Ta", "B", "N", "N", "O"],
  "fractional_positions": [[0.500, 0.500, 0.500], [0.000, 0.000, 0.000], [0.000, 0.500, 0.000], [0.000, 0.000, 0.500], [0.500, 0.000, 0.000]]
}

No. 11
{
  "formula": "TiBN2O",
  "functional": "GGA-PBEsol",
  "state": "optimized geometry",
  "crystal_system": "tetragonal",
  "formation_energy_uncorrected_mev_per_atom": -425,
  "mass_density_g_cm3": 4.600,
  "lattice": [[3.165, 0.000, 0.000], [0.000, 3.165, 0.000], [0.000, 0.000, 3.701]],
  "species": ["Ti", "B", "N", "N", "O"],
  "fractional_positions": [[0.500, 0.500, 0.500], [0.000, 0.000, 0.000], [0.000, 0.500, 0.000], [0.500, 0.000, 0.000], [0.000, 0.000, 0.500]]
}

No. 12
{
  "formula": "ZnBNO2",
  "functional": "GGA-PBEsol",
  "state": "optimized geometry",
  "crystal_system": "tetragonal",
  "formation_energy_uncorrected_mev_per_atom": -56,
  "mass_density_g_cm3": 5.104,
  "lattice": [[-0.609, 0.852, 2.694], [-3.596, -0.688, -0.595], [0.466, -3.477, 1.204]],
  "species": ["B", "O", "O", "N", "Zn"],
  "fractional_positions": [[0.000, 0.000, 0.000], [0.000, 0.500, 0.000], [0.000, 0.000, 0.500], [0.500, 0.000, 0.000], [0.500, 0.500, 0.500]]
}